No. 1
An optimized crystal structure of PrZr2V. Source: the Alexandria database, functional GGA-PBE.

Unit cell a=3.210 b=3.210 c=10.920 alpha=81.55 beta=81.55 gamma=60.00
Fractional positions:
Pr: 0.000 0.000 0.000
Zr: 0.101 0.101 0.698
Zr: 0.899 0.899 0.302
V: 0.500 0.500 0.500

Calculated values
Total magnetization (μB per atom): 0.280
D(E_F) (states/eV per cell): 5.8
Relative energy among the computed polymorphs (meV/atom): 213
DFT total energy (eV/f.u.): -29.33
ΔH_f (0 K) (meV/atom): 417

No. 2
An optimized crystal structure of Pr4W. Source: the Alexandria database, functional GGA-PBE.

Unit cell a=5.680 b=5.680 c=5.680 alpha=90.00 beta=90.00 gamma=90.00
Fractional positions:
Pr: 0.000 0.000 0.000
Pr: 0.500 0.000 0.500
Pr: 0.000 0.500 0.500
Pr: 0.500 0.500 0.000
W: 0.500 0.500 0.500

Calculated values
Total magnetization (μB per atom): 0.000
D(E_F) (states/eV per cell): 8.4
DFT total energy (eV/f.u.): -29.27
ΔH_f (0 K) (meV/atom): 560

No. 3
An optimized crystal structure of PrW4. Source: the Alexandria database, functional GGA-PBE.

Unit cell a=4.811 b=4.811 c=4.811 alpha=90.00 beta=90.00 gamma=90.00
Fractional positions:
Pr: 0.500 0.500 0.500
W: 0.000 0.000 0.000
W: 0.500 0.000 0.500
W: 0.000 0.500 0.500
W: 0.500 0.500 0.000

Calculated values
Total magnetization (μB per atom): 0.000
D(E_F) (states/eV per cell): 5.7
DFT total energy (eV/f.u.): -38.76
ΔH_f (0 K) (meV/atom): 3567

No. 4
An optimized crystal structure of PrY3. Source: the Alexandria database, functional GGA-PBE.

Unit cell a=3.688 b=6.339 c=6.824 alpha=117.68 beta=105.68 gamma=90.00
Fractional positions:
Pr: 0.000 0.997 0.000
Y: 0.248 0.583 0.497
Y: 0.500 0.500 0.000
Y: 0.752 0.086 0.503

Calculated values
Total magnetization (μB per atom): 0.000
D(E_F) (states/eV per cell): 7.3
Relative energy among the computed polymorphs (meV/atom): 2
DFT total energy (eV/f.u.): -24.12
ΔH_f (0 K) (meV/atom): 12

No. 5
An optimized crystal structure of PrY2. Source: the Alexandria database, functional GGA-PBE.

Unit cell a=3.623 b=3.623 c=8.093 alpha=102.93 beta=102.93 gamma=90.00
Fractional positions:
Pr: 0.000 0.000 0.000
Y: 0.668 0.668 0.336
Y: 0.332 0.332 0.664

Calculated values
Total magnetization (μB per atom): 0.000
D(E_F) (states/eV per cell): 4.5
Relative energy among the computed polymorphs (meV/atom): 31
DFT total energy (eV/f.u.): -17.64
ΔH_f (0 K) (meV/atom): 21

No. 6
An optimized crystal structure of Pr3Y5. Source: the Alexandria database, functional GGA-PBE.

Unit cell a=5.131 b=7.244 c=7.244 alpha=90.54 beta=90.00 gamma=90.00
Fractional positions:
Pr: 0.000 0.500 0.500
Pr: 0.500 0.752 0.248
Pr: 0.500 0.248 0.752
Y: 0.000 0.000 0.000
Y: 0.000 0.000 0.500
Y: 0.000 0.500 0.000
Y: 0.500 0.250 0.250
Y: 0.500 0.750 0.750

Calculated values
Total magnetization (μB per atom): 0.000
D(E_F) (states/eV per cell): 12.1
DFT total energy (eV/f.u.): -46.52
ΔH_f (0 K) (meV/atom): 17

No. 7
An optimized crystal structure of PrY. Source: the Alexandria database, functional GGA-PBE.

Unit cell a=3.640 b=6.282 c=6.328 alpha=99.17 beta=106.71 gamma=90.00
Fractional positions:
Pr: 0.001 0.999 0.002
Pr: 0.249 0.751 0.498
Y: 0.751 0.252 0.502
Y: 0.499 0.498 0.998

Calculated values
Total magnetization (μB per atom): 0.000
D(E_F) (states/eV per cell): 5.7
Relative energy among the computed polymorphs (meV/atom): 0
DFT total energy (eV/f.u.): -11.21
ΔH_f (0 K) (meV/atom): 15

No. 8
An optimized crystal structure of Pr4Y. Source: the Alexandria database, functional GGA-PBE.

Unit cell a=5.895 b=5.895 c=5.895 alpha=90.00 beta=90.00 gamma=90.00
Fractional positions:
Y: 0.500 0.500 0.500
Pr: 0.000 0.000 0.000
Pr: 0.500 0.000 0.500
Pr: 0.000 0.500 0.500
Pr: 0.500 0.500 0.000

Calculated values
Total magnetization (μB per atom): 0.104
D(E_F) (states/eV per cell): 8.9
Relative energy among the computed polymorphs (meV/atom): 634
DFT total energy (eV/f.u.): -22.37
ΔH_f (0 K) (meV/atom): 643

No. 9
An optimized crystal structure of PrY3. Source: the Alexandria database, functional GGA-PBE.

Unit cell a=7.334 b=7.334 c=5.773 alpha=90.00 beta=90.00 gamma=120.00
Fractional positions:
Pr: 0.667 0.333 0.250
Pr: 0.333 0.667 0.750
Y: 0.668 0.834 0.250
Y: 0.166 0.332 0.250
Y: 0.834 0.166 0.750
Y: 0.834 0.668 0.750
Y: 0.332 0.166 0.750
Y: 0.166 0.834 0.250

Calculated values
Total magnetization (μB per atom): 0.000
D(E_F) (states/eV per cell): 15.5
Relative energy among the computed polymorphs (meV/atom): 0
DFT total energy (eV/f.u.): -24.13
ΔH_f (0 K) (meV/atom): 10

No. 10
An optimized crystal structure of PrY2. Source: the Alexandria database, functional GGA-PBE.

Unit cell a=3.622 b=7.233 c=9.551 alpha=124.49 beta=100.93 gamma=90.00
Fractional positions:
Pr: 0.833 0.751 0.667
Pr: 0.167 0.249 0.333
Y: 0.500 0.747 0.000
Y: 0.166 0.750 0.332
Y: 0.500 0.253 0.000
Y: 0.834 0.250 0.668

Calculated values
Total magnetization (μB per atom): 0.000
D(E_F) (states/eV per cell): 8.9
Relative energy among the computed polymorphs (meV/atom): 26
DFT total energy (eV/f.u.): -17.66
ΔH_f (0 K) (meV/atom): 16

No. 11
An optimized crystal structure of Pr4Y3. Source: the Alexandria database, functional GGA-PBE.

Unit cell a=3.540 b=8.967 c=9.374 alpha=122.59 beta=100.88 gamma=90.00
Fractional positions:
Pr: 0.079 0.451 0.157
Pr: 0.921 0.549 0.843
Pr: 0.361 0.131 0.722
Pr: 0.639 0.869 0.278
Y: 0.000 0.000 0.000
Y: 0.220 0.297 0.441
Y: 0.780 0.703 0.559

Calculated values
Total magnetization (μB per atom): 0.000
D(E_F) (states/eV per cell): 12.2
Relative energy among the computed polymorphs (meV/atom): 27
DFT total energy (eV/f.u.): -37.63
ΔH_f (0 K) (meV/atom): 126

No. 12
An optimized crystal structure of Pr13Y2. Source: the Alexandria database, functional GGA-PBE.

Unit cell a=6.860 b=9.266 c=9.267 alpha=113.41 beta=82.44 gamma=97.65
Fractional positions:
Pr: 0.701 0.629 0.027
Pr: 0.299 0.371 0.973
Pr: 0.000 0.000 0.000
Pr: 0.306 0.038 0.639
Pr: 0.694 0.962 0.361
Pr: 0.101 0.564 0.767
Pr: 0.899 0.436 0.233
Pr: 0.396 0.602 0.405
Pr: 0.604 0.398 0.595
Pr: 0.496 0.831 0.835
Pr: 0.504 0.169 0.165
Pr: 0.807 0.194 0.792
Pr: 0.193 0.806 0.208
Y: 0.901 0.768 0.570
Y: 0.099 0.232 0.430

Calculated values
Total magnetization (μB per atom): 0.000
D(E_F) (states/eV per cell): 22.4
Relative energy among the computed polymorphs (meV/atom): 0
DFT total energy (eV/f.u.): -74.29
ΔH_f (0 K) (meV/atom): 52

No. 13
An optimized crystal structure of Pr2Y5. Source: the Alexandria database, functional GGA-PBE.

Unit cell a=6.370 b=9.352 c=8.600 alpha=95.36 beta=111.74 gamma=90.00
Fractional positions:
Pr: 0.260 0.392 0.855
Pr: 0.405 0.108 0.145
Pr: 0.740 0.608 0.145
Pr: 0.595 0.892 0.855
Y: 0.310 0.465 0.290
Y: 0.020 0.035 0.710
Y: 0.120 0.679 0.571
Y: 0.548 0.821 0.429
Y: 0.880 0.321 0.429
Y: 0.452 0.179 0.571
Y: 0.980 0.965 0.290
Y: 0.690 0.535 0.710
Y: 0.835 0.250 0.000
Y: 0.165 0.750 0.000

Calculated values
Total magnetization (μB per atom): 0.000
D(E_F) (states/eV per cell): 25.1
DFT total energy (eV/f.u.): -41.81
ΔH_f (0 K) (meV/atom): 10

No. 14
An optimized crystal structure of Pr2Y17. Source: the Alexandria database, functional GGA-PBE.

Unit cell a=8.811 b=8.811 c=8.811 alpha=80.41 beta=80.41 gamma=80.41
Fractional positions:
Pr: 0.673 0.673 0.673
Pr: 0.327 0.327 0.327
Y: 0.366 0.366 0.851
Y: 0.366 0.851 0.366
Y: 0.099 0.099 0.099
Y: 0.901 0.901 0.901
Y: 0.000 0.000 0.500
Y: 0.500 0.000 0.000
Y: 0.000 0.500 0.000
Y: 0.298 0.702 0.000
Y: 0.000 0.298 0.702
Y: 0.702 0.000 0.298
Y: 0.702 0.298 0.000
Y: 0.000 0.702 0.298
Y: 0.298 0.000 0.702
Y: 0.634 0.149 0.634
Y: 0.634 0.634 0.149
Y: 0.149 0.634 0.634
Y: 0.851 0.366 0.366

Calculated values
Total magnetization (μB per atom): 0.087
D(E_F) (states/eV per cell): 41.9
DFT total energy (eV/f.u.): -114.17
ΔH_f (0 K) (meV/atom): 278

No. 15
An optimized crystal structure of Pr4Y. Source: the Alexandria database, functional GGA-PBE.

Unit cell a=3.693 b=3.693 c=13.280 alpha=97.99 beta=97.99 gamma=90.00
Fractional positions:
Pr: 0.598 0.598 0.196
Pr: 0.199 0.199 0.398
Pr: 0.801 0.801 0.602
Pr: 0.402 0.402 0.804
Y: 0.000 0.000 0.000

Calculated values
Total magnetization (μB per atom): 0.000
D(E_F) (states/eV per cell): 7.6
Relative energy among the computed polymorphs (meV/atom): 7
DFT total energy (eV/f.u.): -25.50
ΔH_f (0 K) (meV/atom): 16

No. 16
An optimized crystal structure of PrY5. Source: the Alexandria database, functional GGA-PBE.

Unit cell a=5.085 b=5.083 c=8.042 alpha=108.42 beta=90.00 gamma=90.00
Fractional positions:
Pr: 0.000 0.000 0.000
Y: 0.000 0.667 0.335
Y: 0.000 0.333 0.665
Y: 0.500 0.500 0.000
Y: 0.500 0.167 0.334
Y: 0.500 0.833 0.666

Calculated values
Total magnetization (μB per atom): 0.000
D(E_F) (states/eV per cell): 9.1
Relative energy among the computed polymorphs (meV/atom): 0
DFT total energy (eV/f.u.): -36.97
ΔH_f (0 K) (meV/atom): 22

No. 17
An optimized crystal structure of Pr7Y6. Source: the Alexandria database, functional GGA-PBE.

Unit cell a=6.697 b=6.697 c=12.334 alpha=74.25 beta=74.25 gamma=60.00
Fractional positions:
Pr: 0.406 0.924 0.264
Pr: 0.406 0.406 0.264
Pr: 0.924 0.406 0.264
Pr: 0.594 0.076 0.736
Pr: 0.076 0.594 0.736
Pr: 0.594 0.594 0.736
Pr: 0.500 0.500 0.500
Y: 0.954 0.954 0.137
Y: 0.046 0.046 0.863
Y: 0.853 0.853 0.442
Y: 0.147 0.147 0.558
Y: 0.665 0.665 0.005
Y: 0.335 0.335 0.995

Calculated values
Total magnetization (μB per atom): 0.001
D(E_F) (states/eV per cell): 26.7
DFT total energy (eV/f.u.): -69.39
ΔH_f (0 K) (meV/atom): 219

No. 18
An optimized crystal structure of Pr5Y3. Source: the Alexandria database, functional GGA-PBE.

Unit cell a=3.674 b=3.674 c=20.631 alpha=90.00 beta=90.00 gamma=90.00
Fractional positions:
Pr: 0.000 0.000 0.248
Pr: 0.500 0.500 0.625
Pr: 0.500 0.500 0.375
Pr: 0.000 0.000 0.752
Pr: 0.000 0.000 0.000
Y: 0.500 0.500 0.123
Y: 0.500 0.500 0.877
Y: 0.000 0.000 0.500

Calculated values
Total magnetization (μB per atom): 0.000
D(E_F) (states/eV per cell): 13.0
Relative energy among the computed polymorphs (meV/atom): 0
DFT total energy (eV/f.u.): -43.13
ΔH_f (0 K) (meV/atom): 19

No. 19
An optimized crystal structure of PrY. Source: the Alexandria database, functional GGA-PBE.

Unit cell a=3.604 b=5.718 c=6.907 alpha=90.00 beta=105.04 gamma=90.00
Fractional positions:
Pr: 0.561 0.750 0.623
Pr: 0.439 0.250 0.377
Y: 0.820 0.750 0.139
Y: 0.180 0.250 0.861

Calculated values
Total magnetization (μB per atom): 0.000
D(E_F) (states/eV per cell): 6.9
Relative energy among the computed polymorphs (meV/atom): 34
DFT total energy (eV/f.u.): -11.15
ΔH_f (0 K) (meV/atom): 49

No. 20
An optimized crystal structure of Pr4Y. Source: the Alexandria database, functional GGA-PBE.

Unit cell a=3.691 b=3.691 c=15.181 alpha=83.02 beta=83.02 gamma=59.93
Fractional positions:
Pr: 0.201 0.201 0.399
Pr: 0.799 0.799 0.601
Pr: 0.601 0.601 0.196
Pr: 0.399 0.399 0.804
Y: 0.000 0.000 0.000

Calculated values
Total magnetization (μB per atom): 0.000
D(E_F) (states/eV per cell): 6.5
Relative energy among the computed polymorphs (meV/atom): 0
DFT total energy (eV/f.u.): -25.54
ΔH_f (0 K) (meV/atom): 9

No. 21
An optimized crystal structure of PrY7. Source: the Alexandria database, functional GGA-PBE.

Unit cell a=7.169 b=7.169 c=7.169 alpha=60.00 beta=60.00 gamma=60.00
Fractional positions:
Pr: 0.000 0.000 0.000
Y: 0.500 0.500 0.000
Y: 0.500 0.000 0.500
Y: 0.000 0.500 0.500
Y: 0.500 0.000 0.000
Y: 0.000 0.500 0.000
Y: 0.000 0.000 0.500
Y: 0.500 0.500 0.500

Calculated values
Total magnetization (μB per atom): 0.000
D(E_F) (states/eV per cell): 12.4
Relative energy among the computed polymorphs (meV/atom): 0
DFT total energy (eV/f.u.): -49.87
ΔH_f (0 K) (meV/atom): 20

No. 22
An optimized crystal structure of Pr3Y13. Source: the Alexandria database, functional GGA-PBE.

Unit cell a=7.201 b=7.201 c=10.148 alpha=90.00 beta=90.00 gamma=90.16
Fractional positions:
Pr: 0.001 0.999 0.250
Pr: 0.749 0.251 0.000
Pr: 0.001 0.999 0.750
Y: 0.500 0.000 0.251
Y: 0.499 0.501 0.251
Y: 0.000 0.500 0.251
Y: 0.749 0.749 0.000
Y: 0.251 0.251 0.000
Y: 0.251 0.749 0.000
Y: 0.500 0.000 0.749
Y: 0.499 0.501 0.749
Y: 0.000 0.500 0.749
Y: 0.749 0.251 0.500
Y: 0.749 0.749 0.500
Y: 0.251 0.251 0.500
Y: 0.252 0.748 0.500

Calculated values
Total magnetization (μB per atom): 0.000
D(E_F) (states/eV per cell): 22.1
Relative energy among the computed polymorphs (meV/atom): 10
DFT total energy (eV/f.u.): -98.07
ΔH_f (0 K) (meV/atom): 19

No. 23
An optimized crystal structure of PrY3. Source: the Alexandria database, functional GGA-PBE.

Unit cell a=5.748 b=5.748 c=5.748 alpha=60.00 beta=60.00 gamma=60.00
Fractional positions:
Pr: 0.500 0.500 0.500
Y: 0.000 0.000 0.000
Y: 0.750 0.750 0.750
Y: 0.250 0.250 0.250

Calculated values
Total magnetization (μB per atom): 0.000
D(E_F) (states/eV per cell): 8.0
Relative energy among the computed polymorphs (meV/atom): 103
DFT total energy (eV/f.u.): -23.72
ΔH_f (0 K) (meV/atom): 113

No. 24
An optimized crystal structure of PrY. Source: the Alexandria database, functional GGA-PBE.

Unit cell a=17.562 b=17.562 c=17.562 alpha=12.09 beta=12.09 gamma=12.09
Fractional positions:
Pr: 0.001 0.001 0.001
Pr: 0.500 0.500 0.500
Pr: 0.610 0.610 0.610
Y: 0.111 0.111 0.111
Y: 0.888 0.888 0.888
Y: 0.390 0.390 0.390

Calculated values
Total magnetization (μB per atom): 0.000
D(E_F) (states/eV per cell): 9.8
Relative energy among the computed polymorphs (meV/atom): 5
DFT total energy (eV/f.u.): -11.20
ΔH_f (0 K) (meV/atom): 20

No. 25
An optimized crystal structure of Pr13Y2. Source: the Alexandria database, functional GGA-PBE.

Unit cell a=7.294 b=7.294 c=12.648 alpha=73.24 beta=73.24 gamma=60.00
Fractional positions:
Pr: 0.500 0.500 0.500
Pr: 0.706 0.212 0.870
Pr: 0.212 0.212 0.870
Pr: 0.212 0.706 0.870
Pr: 0.788 0.294 0.130
Pr: 0.294 0.788 0.130
Pr: 0.788 0.788 0.130
Pr: 0.542 0.047 0.365
Pr: 0.047 0.047 0.365
Pr: 0.047 0.542 0.365
Pr: 0.953 0.458 0.635
Pr: 0.458 0.953 0.635
Pr: 0.953 0.953 0.635
Y: 0.294 0.294 0.118
Y: 0.706 0.706 0.882

Calculated values
Total magnetization (μB per atom): 0.000
D(E_F) (states/eV per cell): 21.9
Relative energy among the computed polymorphs (meV/atom): 85
DFT total energy (eV/f.u.): -73.02
ΔH_f (0 K) (meV/atom): 136